Material: TcNiW2
Method: DFT, PBE
State: optimized geometry

Crystal system: tetragonal
Electronic total energy (eV per cell): -41.68
ΔE to the lowest computed polymorph (meV per atom): 57
E_form (meV per atom): 94
Total magnetization (μB/f.u.): 0.00

Cell and atoms, written as POSCAR:
```
TcNiW2
1.0
3.197 0.000 0.000
0.000 3.197 0.000
0.000 0.000 5.703
Tc Ni W
1 1 2
direct
0.000 0.000 0.000
0.500 0.500 0.749
0.000 0.000 0.542
0.500 0.500 0.254
```